[1]
Entry from the Alexandria database: NaLi2ScCu after structural relaxation (PBEsol). Values from VASP.

The structure in Quantum ESPRESSO input format:
```
&SYSTEM
  ibrav = 0, nat = 5, ntyp = 4
/
ATOMIC_SPECIES
Cu 63.55 Cu.upf
Na 22.99 Na.upf
Sc 44.96 Sc.upf
Li 6.94 Li.upf
ATOMIC_POSITIONS crystal
Cu 0.0000 0.0000 0.5000
Na 0.0000 0.0000 0.0000
Sc 0.5000 0.5000 0.5000
Li 0.5000 0.0000 0.0000
Li 0.0000 0.5000 0.0000
CELL_PARAMETERS angstrom
-0.7903 1.4495 -4.0462
2.6521 -3.0730 -1.6189
-3.8687 -3.1436 -0.3705
```

Values from the calculation:
Space group = P4/mmm
Formation energy = 3.1 eV/f.u.

***

[2]
Entry from the Alexandria database: Li3NbCu after structural relaxation (PBEsol). Values from VASP.

The structure in Quantum ESPRESSO input format:
```
&SYSTEM
  ibrav = 0, nat = 5, ntyp = 3
/
ATOMIC_SPECIES
Cu 63.55 Cu.upf
Li 6.94 Li.upf
Nb 92.91 Nb.upf
ATOMIC_POSITIONS crystal
Cu 0.5000 0.5000 0.5000
Li 0.0000 0.5000 0.0000
Li 0.5000 0.0000 0.0000
Li 0.0000 0.0000 0.5000
Nb 0.0000 0.0000 0.0000
CELL_PARAMETERS angstrom
-2.8430 3.4264 2.2034
-3.9052 -1.5275 -2.6635
-1.1596 -3.2565 3.5677
```

Values from the calculation:
Space group = Pm-3m
Formation energy = 8.1 eV/f.u.

***

[3]
Entry from the Alexandria database: LiNbCu3 after structural relaxation (PBEsol). Values from VASP.

The structure in Quantum ESPRESSO input format:
```
&SYSTEM
  ibrav = 0, nat = 5, ntyp = 3
/
ATOMIC_SPECIES
Nb 92.91 Nb.upf
Li 6.94 Li.upf
Cu 63.55 Cu.upf
ATOMIC_POSITIONS crystal
Nb 0.0000 0.0000 0.0000
Li 0.5000 0.5000 0.5000
Cu 0.0000 0.5000 0.0000
Cu 0.5000 0.0000 0.0000
Cu 0.0000 0.0000 0.5000
CELL_PARAMETERS angstrom
-3.7496 -1.2983 -2.6264
2.8764 -2.4423 -2.8991
-0.5570 -3.8721 2.7093
```

Values from the calculation:
Space group = Pm-3m
Energy above the lowest structure with this stoichiometry = 640 meV/atom
Formation energy = 6.4 eV/f.u.

***

[4]
Entry from the Alexandria database: LiNbCu3 after structural relaxation (PBEsol). Values from VASP.

The structure in Quantum ESPRESSO input format:
```
&SYSTEM
  ibrav = 0, nat = 5, ntyp = 3
/
ATOMIC_SPECIES
Cu 63.55 Cu.upf
Li 6.94 Li.upf
Nb 92.91 Nb.upf
ATOMIC_POSITIONS crystal
Cu 0.0000 0.0000 0.5000
Cu 0.5000 0.0000 0.0000
Cu 0.0000 0.5000 0.0000
Li 0.0000 0.0000 0.0000
Nb 0.5000 0.5000 0.5000
CELL_PARAMETERS angstrom
-0.3734 3.9877 -0.1136
-3.9139 -0.3441 0.7857
0.7722 0.1842 3.9274
```

Values from the calculation:
Space group = Pm-3m
Energy above the lowest structure with this stoichiometry = 0 meV/atom
Formation energy = 3.2 eV/f.u.

***

[5]
Entry from the Alexandria database: LiNb2Cu after structural relaxation (PBEsol). Values from VASP.

The structure in Quantum ESPRESSO input format:
```
&SYSTEM
  ibrav = 0, nat = 4, ntyp = 3
/
ATOMIC_SPECIES
Nb 92.91 Nb.upf
Li 6.94 Li.upf
Cu 63.55 Cu.upf
ATOMIC_POSITIONS crystal
Nb 0.2500 0.2500 0.2500
Nb 0.7500 0.7500 0.7500
Li 0.0000 0.0000 0.0000
Cu 0.5000 0.5000 0.5000
CELL_PARAMETERS angstrom
4.3736 0.0000 0.0000
2.1868 3.7876 0.0000
2.1868 1.2625 3.5710
```

Values from the calculation:
Space group = Fm-3m
Formation energy = 1.6 eV/f.u.

***

[6]
Entry from the Alexandria database: Li5Nb2Cu3O10 after structural relaxation (PBEsol). Values from VASP.

The structure in Quantum ESPRESSO input format:
```
&SYSTEM
  ibrav = 0, nat = 20, ntyp = 4
/
ATOMIC_SPECIES
Li 6.94 Li.upf
Cu 63.55 Cu.upf
O 16.00 O.upf
Nb 92.91 Nb.upf
ATOMIC_POSITIONS crystal
Li 0.7779 0.1391 0.6292
Li 0.2221 0.8609 0.3708
Li 0.4065 0.3366 0.8068
Li 0.5000 0.5000 0.5000
Li 0.5935 0.6634 0.1932
Cu 0.0000 0.5000 0.0000
Cu 0.6997 0.8724 0.8991
Cu 0.3003 0.1276 0.1009
O 0.4597 0.8717 0.6499
O 0.2210 0.5170 0.2474
O 0.1379 0.3444 0.5544
O 0.7790 0.4830 0.7526
O 0.5403 0.1283 0.3501
O 0.6664 0.3524 0.0649
O 0.3336 0.6476 0.9351
O 0.8621 0.6556 0.4456
O 0.9252 0.9575 0.1725
O 0.0748 0.0425 0.8275
Nb 0.8863 0.2704 0.2965
Nb 0.1137 0.7296 0.7035
CELL_PARAMETERS angstrom
5.1858 0.0109 0.0121
-1.5680 5.4750 -0.0212
-2.0355 -2.1147 6.9889
```

Values from the calculation:
Space group = P-1
E_form (uncorrected) = -175.11 kJ/mol of atoms

***

[7]
Entry from the Alexandria database: Li4Nb2V3Cu3O16 after structural relaxation (PBEsol). Values from VASP.

The structure in Quantum ESPRESSO input format:
```
&SYSTEM
  ibrav = 0, nat = 28, ntyp = 5
/
ATOMIC_SPECIES
O 16.00 O.upf
V 50.94 V.upf
Nb 92.91 Nb.upf
Cu 63.55 Cu.upf
Li 6.94 Li.upf
ATOMIC_POSITIONS crystal
O 0.0085 0.0170 0.2881
O 0.3481 0.2043 0.0893
O 0.5069 0.4741 0.8296
O 0.4498 0.4591 0.3547
O 0.4603 0.9205 0.3483
O 0.6416 0.2832 0.5984
O 0.1612 0.3224 0.6029
O 0.8433 0.6866 0.0745
O 0.9673 0.4741 0.8296
O 0.5216 0.0431 0.8352
O 0.8561 0.2043 0.0893
O 0.0094 0.4591 0.3547
O 0.6708 0.8427 0.5961
O 0.1719 0.8427 0.5961
O 0.3103 0.6205 0.1180
O 0.0220 0.0440 0.8048
V 0.3581 0.1966 0.7198
V 0.8386 0.1966 0.7198
V 0.1749 0.3497 0.2412
Nb 0.3405 0.6811 0.4974
Nb 0.6743 0.3487 0.9989
Cu 0.1720 0.8292 0.2034
Cu 0.8433 0.6866 0.7228
Cu 0.6572 0.8292 0.2034
Li 0.3352 0.6703 0.9120
Li 0.0102 0.0204 0.9955
Li 0.9967 0.9933 0.4838
Li 0.6401 0.2803 0.4006
CELL_PARAMETERS angstrom
-3.4178 3.2166 -3.2689
-0.7094 -5.9383 -0.0978
-6.2133 0.8886 7.3706
```

Values from the calculation:
Space group = Cm
E_form (uncorrected) = -191.08 kJ/mol of atoms

***

[8]
Entry from the Alexandria database: LiYNbCu2 after structural relaxation (PBEsol). Values from VASP.

The structure in Quantum ESPRESSO input format:
```
&SYSTEM
  ibrav = 0, nat = 5, ntyp = 4
/
ATOMIC_SPECIES
Y 88.91 Y.upf
Cu 63.55 Cu.upf
Nb 92.91 Nb.upf
Li 6.94 Li.upf
ATOMIC_POSITIONS crystal
Y 0.0000 0.0000 0.5000
Cu 0.5000 0.0000 0.0000
Cu 0.0000 0.5000 0.0000
Nb 0.5000 0.5000 0.5000
Li 0.0000 0.0000 0.0000
CELL_PARAMETERS angstrom
-3.7088 -1.6447 -1.0855
1.7656 -3.8008 -0.2737
-0.9494 -0.7573 4.3913
```

Values from the calculation:
Space group = P4/mmm
Formation energy = 3.8 eV/f.u.

***

Going through the records in order, we get D(E_F) values of 4.57, 2.56, 4.49, 6.64, 1.78, 0.31, 6.50, 4.29 states/eV/cell.